[1]
CsOsBr3 | PBE | optimized geometry

Geometry as POSCAR:
```
CsOsBr3
1.0
5.267 0.000 0.000
0.000 5.267 0.000
0.000 0.000 5.267
Cs Os Br
1 1 3
Cartesian
0.000 0.000 0.000
2.633 2.633 2.633
0.000 2.633 2.633
2.633 0.000 2.633
2.633 2.633 0.000
```

Calculated values
space-group type = Pm-3m
DOS(E_F) = 5.0 states/eV/cell
formation energy from raw total energies = -264 meV/atom
M_tot = 1.78 Bohr magnetons per cell
total energy = -18.424 eV/cell

[2]
CeHo5Hg4 | PBE | optimized geometry

Geometry as POSCAR:
```
CeHo5Hg4
1.0
3.670 0.000 0.000
0.000 3.670 0.000
0.000 0.000 19.532
Ce Ho Hg
1 5 4
Cartesian
0.000 0.000 0.000
1.835 1.835 2.259
1.835 1.835 6.022
1.835 1.835 9.766
1.835 1.835 13.510
1.835 1.835 17.273
0.000 0.000 4.109
0.000 0.000 7.884
0.000 0.000 11.648
0.000 0.000 15.423
```

Calculated values
space-group type = P4/mmm
DOS(E_F) = 11.0 states/eV/cell
calculated formation energy = -0.364 eV/atom
M_tot = 0.30 Bohr magnetons per cell
total energy = -33.671 eV/cell

[3]
DyY2PaN4 | PBE | optimized geometry

Geometry as POSCAR:
```
DyY2PaN4
1.0
6.013 0.000 0.000
0.000 3.498 0.000
-1.979 0.000 5.678
Dy Y Pa N
1 2 1 4
Cartesian
0.000 0.000 0.000
2.017 0.000 2.839
3.006 1.749 0.000
-0.989 1.749 2.839
0.926 1.749 1.472
-0.022 0.000 4.207
4.056 0.000 1.472
3.108 1.749 4.206
```

Calculated values
space-group type = P2/m
DOS(E_F) = 3.7 states/eV/cell
formation energy from raw total energies = -1701 meV/atom
M_tot = 0.00 Bohr magnetons per cell
total energy = -73.938 eV/cell